# PBE-GGA CsMg2Fe2, relaxed
# * energy of formation from the pure elements: 0.91 eV per atom
# * total magnetic moment: 0.000 μB/atom
# * D(E_F): 1.638 states/eV per atom
# * calculated volume: 21.8 A^3/atom
data_CsMg2Fe2
_cell_length_a 8.426
_cell_length_b 8.426
_cell_length_c 3.067
_cell_angle_alpha 90.00
_cell_angle_beta 90.00
_cell_angle_gamma 90.00
_space_group_name_H-M_alt 'P 4/m b m'
_space_group_IT_number 127
_space_group_name_Hall '-P 4 2ab'
loop_
_atom_site_label
_atom_site_type_symbol
_atom_site_fract_x
_atom_site_fract_y
_atom_site_fract_z
Cs1 Cs 0.000 0.000 0.000
Mg1 Mg 0.169 0.331 0.500
Fe1 Fe 0.087 0.587 0.000